[1]
VASP calculation (PBE) on a relaxed GaNi6Ge crystal.

Unit cell a=5.060 b=5.060 c=3.582 alpha=90.00 beta=90.00 gamma=90.00
Space group P4/mmm (No. 123)
Inequivalent atoms, fractional coordinates:
Ga  0.000  0.000  0.000 x1
Ni  0.000  0.500  0.000 x2
Ni  0.251  0.251  0.500 x4
Ge  0.500  0.500  0.000 x1

## Properties
- Theoretical density: 8.95 g/cm3
- Energy above the most stable polymorph in this dataset: 2 meV per atom

=====

[2]
VASP calculation (PBE) on a relaxed Ga3Ni7Ge crystal.

Unit cell a=8.066 b=8.503 c=4.687 alpha=90.00 beta=115.77 gamma=90.00
Space group C2/m (No. 12)
Inequivalent atoms, fractional coordinates:
Ga  0.000  0.000  0.000 x2
Ga  0.000  0.217  0.500 x4
Ni  0.000  0.500  0.500 x2
Ni  0.171  0.246  0.181 x8
Ni  0.204  0.000  0.546 x4
Ge  0.000  0.500  0.000 x2

## Properties
- Theoretical density: 7.95 g/cm3

=====

[3]
VASP calculation (PBE) on a relaxed Ga2Ni5Ge2 crystal.

Unit cell a=12.175 b=6.245 c=6.415 alpha=90.00 beta=90.00 gamma=90.00
Space group Ima2 (No. 46)
Inequivalent atoms, fractional coordinates:
Ga  0.109  0.033  0.000 x8
Ni  0.054  0.719  0.774 x8
Ni  0.152  0.127  0.351 x8
Ni  0.250  0.746  0.960 x4
Ge  0.000  0.000  0.558 x4
Ge  0.250  0.067  0.682 x4

## Properties
- Theoretical density: 7.87 g/cm3

=====

[4]
VASP calculation (PBE) on a relaxed GaNi3Ge crystal.

Unit cell a=10.092 b=7.286 c=8.032 alpha=90.00 beta=90.00 gamma=90.00
Space group Cmcm (No. 63)
Inequivalent atoms, fractional coordinates:
Ga  0.000  0.002  0.250 x4
Ga  0.000  0.390  0.750 x4
Ni  0.000  0.186  0.503 x8
Ni  0.118  0.500  0.000 x8
Ni  0.124  0.301  0.250 x8
Ge  0.250  0.250  0.000 x8

## Properties
- Theoretical density: 7.16 g/cm3
- Energy above the most stable polymorph in this dataset: 0 meV per atom

=====

[5]
VASP calculation (PBE) on a relaxed Ga2Ni5Ge crystal.

Unit cell a=3.708 b=3.708 c=13.913 alpha=90.00 beta=90.00 gamma=90.00
Space group I4/mmm (No. 139)
Inequivalent atoms, fractional coordinates:
Ga  0.000  0.000  0.245 x4
Ni  0.000  0.000  0.000 x2
Ni  0.000  0.500  0.125 x8
Ge  0.000  0.000  0.500 x2

## Properties
- Theoretical density: 8.78 g/cm3
- Energy above the most stable polymorph in this dataset: 0 meV per atom

=====

[6]
VASP calculation (PBE) on a relaxed GaNi3Ge crystal.

Unit cell a=4.317 b=4.317 c=4.317 alpha=90.00 beta=90.00 gamma=90.00
Space group Pm-3m (No. 221)
Inequivalent atoms, fractional coordinates:
Ga  0.000  0.000  0.000 x1
Ni  0.000  0.500  0.500 x3
Ge  0.500  0.500  0.500 x1

## Properties
- Theoretical density: 6.57 g/cm3
- Energy above the most stable polymorph in this dataset: 589 meV per atom

=====

[7]
VASP calculation (PBE) on a relaxed Ga2Ni9Ge crystal.

Unit cell a=3.581 b=3.581 c=10.740 alpha=90.00 beta=90.00 gamma=90.00
Space group P4/mmm (No. 123)
Inequivalent atoms, fractional coordinates:
Ga  0.000  0.000  0.166 x2
Ni  0.000  0.500  0.000 x2
Ni  0.000  0.500  0.334 x4
Ni  0.500  0.500  0.168 x2
Ni  0.500  0.500  0.500 x1
Ge  0.000  0.000  0.500 x1

## Properties
- Theoretical density: 8.93 g/cm3

=====

[8]
VASP calculation (PBE) on a relaxed GaNi2Ge crystal.

Unit cell a=4.613 b=4.636 c=9.873 alpha=90.00 beta=90.00 gamma=90.00
Space group Imma (No. 74)
Inequivalent atoms, fractional coordinates:
Ga  0.000  0.250  0.080 x4
Ni  0.000  0.250  0.327 x4
Ni  0.000  0.250  0.825 x4
Ge  0.000  0.250  0.583 x4

## Properties
- Theoretical density: 8.17 g/cm3

=====

Asked for formation energy from the elements across the records above, the calculation gives -0.286; -0.107; -0.100; -0.112; -0.289; 0.477; -0.287; -0.261 eV per atom in order.
Asked for energy across the records above, the calculation gives -5.58; -5.03; -5.01; -5.11; -5.24; -4.52; -5.51; -5.06 eV per atom in order.
Asked for magnetic moment across the records above, the calculation gives 0.7; 0.0; 0.0; 0.0; 0.0; 0.0; 1.7; 0.0 μB per cell in order.